No. 1
Density functional theory data (PBE) for a relaxed structure of Na2Li4H.

Values from the calculation:
Size of the total moment = 0.0 Bohr magnetons per cell
Total DFT energy (no corrections) = -13.8 eV/cell
SG = I4/mmm, No. 139
V = 149 Å³ per cell
DOS(E_F) = 0.5085 states/eV per atom

The structure in extended XYZ format:
```
7
Lattice="-3.4207 -1.5985 -1.2595 2.0310 -2.5248 -2.3116 1.0000 -4.1383 8.8255" Properties=species:S:1:pos:R:3 pbc="T T T"
Na -0.5804 -4.3875 0.8554
Li 1.0155 -1.2624 -1.1558
Li -0.4545 -6.9453 3.7597
H 0.0000 0.0000 0.0000
Na 0.1907 -3.8741 4.3990
Li -1.7103 -0.7993 -0.6298
Li 0.0648 -1.3163 1.4946
```

No. 2
Density functional theory data (PBE) for a relaxed structure of CoSi2Ag.

Values from the calculation:
Size of the total moment = 0.0 Bohr magnetons per cell
Distance to the lowest polymorph of the same formula = 0.00 eV per formula unit
Total DFT energy (no corrections) = -21.0 eV/cell
SG = Imm2, No. 44
Energy relative to the elements, uncorrected = -0.04 eV per atom
V = 59 Å³ per cell
DOS(E_F) = 0.4628 states/eV per atom

The structure in extended XYZ format:
```
4
Lattice="-2.1834 3.9938 4.5276 -5.6306 1.7976 2.5065 4.6415 -4.0890 -1.7186" Properties=species:S:1:pos:R:3 pbc="T T T"
Si -0.8066 1.4612 3.2370
Ag -3.4512 2.5579 3.1068
Si -0.5342 0.3959 0.4809
Co -2.2874 0.1831 2.0079
```

No. 3
Density functional theory data (PBE) for a relaxed structure of CdTe2N.

Values from the calculation:
Size of the total moment = 1.8 Bohr magnetons per cell
Distance to the lowest polymorph of the same formula = 2.50 eV per formula unit
Total DFT energy (no corrections) = -10.7 eV/cell
SG = Fm-3m, No. 225
Energy relative to the elements, uncorrected = 1.20 eV per atom
V = 89 Å³ per cell
DOS(E_F) = 0.7619 states/eV per atom

The structure in extended XYZ format:
```
4
Lattice="-2.3511 -3.0680 -3.1838 -4.2415 1.4681 -2.2208 -0.0348 1.0261 -4.9013" Properties=species:S:1:pos:R:3 pbc="T T T"
Cd -3.3136 -0.2869 -5.1529
Te -4.9705 -0.4304 -7.7294
Te -1.6568 -0.1435 -2.5765
N 0.0000 0.0000 0.0000
```